No. 1
Material: La2SbAs2
Method: DFT, PBE-GGA
State: relaxed

a = 8.832 Å, b = 8.832 Å, c = 8.832 Å
α = 153.28°, β = 153.28°, γ = 38.15°
Fractional positions:
La: 0.108 0.108 0.000
La: 0.892 0.892 0.000
Sb: 0.500 0.500 0.000
As: 0.250 0.750 0.500
As: 0.750 0.250 0.500

Computed properties:
Magnetic moment in μB/f.u.: 0.00
Energy above the most stable polymorph in this dataset in meV per atom: 32
DFT total energy in eV per atom: -5.71
Formation energy (no corrections) in meV/atom: -1052
Calculated volume in Å³/atom: 27.8

No. 2
Material: Tc2PtRh3
Method: DFT, PBE-GGA
State: relaxed

a = 7.285 Å, b = 7.285 Å, c = 8.858 Å
α = 90.00°, β = 90.00°, γ = 158.26°
Fractional positions:
Tc: 0.000 0.000 0.000
Tc: 0.000 0.000 0.500
Tc: 0.444 0.556 0.750
Tc: 0.556 0.444 0.250
Pt: 0.220 0.780 0.250
Pt: 0.780 0.220 0.750
Rh: 0.107 0.893 0.750
Rh: 0.340 0.660 0.002
Rh: 0.340 0.660 0.498
Rh: 0.660 0.340 0.502
Rh: 0.660 0.340 0.998
Rh: 0.893 0.107 0.250

Computed properties:
Magnetic moment in μB/f.u.: 0.00
DFT formation energy in kcal/mol of atoms: -2.4
DFT total energy in eV per atom: -8.24
Calculated volume in Å³/atom: 14.5

No. 3
Material: Cr2ReNi
Method: DFT, PBE-GGA
State: relaxed

a = 2.527 Å, b = 4.111 Å, c = 4.858 Å
α = 90.00°, β = 99.91°, γ = 90.00°
Fractional positions:
Cr: 0.000 0.000 0.000
Cr: 0.256 0.500 0.783
Re: 0.519 0.000 0.503
Ni: 0.927 0.500 0.262

Computed properties:
Magnetic moment in μB/f.u.: 0.00
DFT formation energy in kcal/mol of atoms: 2.2
DFT total energy in eV per atom: -9.27
Calculated volume in Å³/atom: 12.4

No. 4
Material: Sc6Zn3Ni
Method: DFT, PBE-GGA
State: relaxed

a = 8.499 Å, b = 4.687 Å, c = 10.584 Å
α = 90.00°, β = 111.94°, γ = 90.00°
Fractional positions:
Sc: 0.022 0.250 0.406
Sc: 0.163 0.750 0.181
Sc: 0.247 0.250 0.014
Sc: 0.371 0.750 0.852
Sc: 0.381 0.250 0.646
Sc: 0.382 0.250 0.354
Sc: 0.618 0.750 0.646
Sc: 0.619 0.750 0.354
Sc: 0.629 0.250 0.148
Sc: 0.753 0.750 0.986
Sc: 0.837 0.250 0.819
Sc: 0.978 0.750 0.594
Zn: 0.039 0.750 0.878
Zn: 0.108 0.250 0.727
Zn: 0.260 0.750 0.476
Zn: 0.740 0.250 0.524
Zn: 0.892 0.750 0.273
Zn: 0.961 0.250 0.122
Ni: 0.418 0.750 0.110
Ni: 0.582 0.250 0.890

Computed properties:
Magnetic moment in μB/f.u.: 0.00
DFT formation energy in kcal/mol of atoms: -6.6
DFT total energy in eV per atom: -5.05
Calculated volume in Å³/atom: 19.6